# Tm3Zn4Ge2 (PBE, optimized geometry)
# * space-group type: C2/m, No. 12
# * energy of formation: -0.550 eV per atom
# * M_tot: 0.000 μB per cell
data_Tm3Zn4Ge2
_cell_length_a 5.710
_cell_length_b 5.710
_cell_length_c 8.337
_cell_angle_alpha 108.61
_cell_angle_beta 108.61
_cell_angle_gamma 43.61
_space_group_name_H-M_alt 'P 1'
_space_group_IT_number 1
_space_group_name_Hall 'P 1'
loop_
_atom_site_label
_atom_site_type_symbol
_atom_site_fract_x
_atom_site_fract_y
_atom_site_fract_z
Tm1 Tm 0.000 0.000 0.000
Tm2 Tm 0.322 0.322 0.349
Tm3 Tm 0.678 0.678 0.651
Zn1 Zn 0.015 0.015 0.357
Zn2 Zn 0.250 0.250 0.923
Zn3 Zn 0.750 0.750 0.077
Zn4 Zn 0.985 0.985 0.643
Ge1 Ge 0.389 0.389 0.725
Ge2 Ge 0.611 0.611 0.275